Compound: Pm2MnGe5
Source: the Alexandria database
Functional: GGA-PBE
Structure: relaxed

```
Pm2MnGe5
1.0
-3.0779 3.0779 4.4855
3.0779 -3.0779 4.4855
3.0779 3.0779 -4.4855
Pm Mn Ge
2 1 5
Direct
0.0000 0.5000 0.5000
0.5000 0.0000 0.5000
0.2354 0.2354 0.0000
0.5261 0.5261 0.5668
0.5261 0.9594 0.0000
0.9594 0.5261 0.0000
0.9594 0.9594 0.4332
0.9622 0.9622 0.0000
```

Size of the total moment (μB/f.u.): 2.8
D(E_F) (states/eV/f.u.): 3.8
E_tot (eV per atom): -5.60
Energy relative to the elements (eV/atom): -0.381

***

Compound: PmMnGe2
Source: the Alexandria database
Functional: GGA-PBE
Structure: relaxed

```
PmMnGe2
1.0
3.2807 0.0000 0.0000
0.0000 3.2807 0.0000
0.0000 0.0000 6.8241
Pm Mn Ge
1 1 2
Direct
0.0000 0.0000 0.0000
0.0000 0.0000 0.5000
0.5000 0.5000 0.3077
0.5000 0.5000 0.6923
```

Size of the total moment (μB/f.u.): 2.5
Polymorph energy (0 for the lowest one) (meV/atom): 289
D(E_F) (states/eV/f.u.): 3.2
E_tot (eV per atom): -6.01
Energy relative to the elements (eV/atom): -0.223

***

Compound: PmMnGe2
Source: the Alexandria database
Functional: GGA-PBE
Structure: relaxed

```
PmMnGe2
1.0
4.3921 0.0000 0.0000
0.0000 4.3921 0.0000
0.0000 0.0000 4.1672
Pm Mn Ge
1 1 2
Direct
0.0000 0.0000 0.0000
0.5000 0.5000 0.0000
0.0000 0.5000 0.5000
0.5000 0.0000 0.5000
```

Size of the total moment (μB/f.u.): 3.9
Polymorph energy (0 for the lowest one) (meV/atom): 282
D(E_F) (states/eV/f.u.): 2.5
E_tot (eV per atom): -6.02
Energy relative to the elements (eV/atom): -0.230

***

Compound: Pm3Mn2Ge7
Source: the Alexandria database
Functional: GGA-PBE
Structure: relaxed

```
Pm3Mn2Ge7
1.0
4.3205 0.0000 0.0000
0.0000 4.3448 0.0000
-2.1528 0.0000 12.6557
Pm Mn Ge
3 2 7
Direct
0.0000 0.0000 0.0000
0.3159 0.5000 0.6294
0.6841 0.5000 0.3706
0.1234 0.0000 0.2494
0.8766 0.0000 0.7506
0.0901 0.5000 0.1832
0.2171 0.0000 0.4357
0.4099 0.0000 0.8175
0.5000 0.5000 0.0000
0.5901 0.0000 0.1825
0.7829 0.0000 0.5643
0.9099 0.5000 0.8168
```

Size of the total moment (μB/f.u.): 0.0
D(E_F) (states/eV/f.u.): 6.9
E_tot (eV per atom): -5.92
Energy relative to the elements (eV/atom): -0.514

***

Compound: Pm12MnGe7
Source: the Alexandria database
Functional: GGA-PBE
Structure: relaxed

```
Pm12MnGe7
1.0
7.4487 4.3005 3.0016
-7.4487 4.3005 3.0016
0.0000 -8.6010 3.0016
Pm Mn Ge
12 1 7
Direct
0.0990 0.3213 0.4047
0.1258 0.6591 0.2715
0.2715 0.1258 0.6591
0.3213 0.4047 0.0990
0.3409 0.7285 0.8742
0.4047 0.0990 0.3213
0.5953 0.9010 0.6787
0.6591 0.2715 0.1258
0.6787 0.5953 0.9010
0.7285 0.8742 0.3409
0.8742 0.3409 0.7285
0.9010 0.6787 0.5953
0.0000 0.0000 0.0000
0.0325 0.9453 0.2653
0.0547 0.7347 0.9675
0.2653 0.0325 0.9453
0.5000 0.5000 0.5000
0.7347 0.9675 0.0547
0.9453 0.2653 0.0325
0.9675 0.0547 0.7347
```

Size of the total moment (μB/f.u.): 2.8
D(E_F) (states/eV/f.u.): 22.8
E_tot (eV per atom): -5.35
Energy relative to the elements (eV/atom): -0.425

***

Compound: Pm2MnGe6
Source: the Alexandria database
Functional: GGA-PBE
Structure: relaxed

```
Pm2MnGe6
1.0
5.2744 -3.0484 0.0000
5.2744 3.0484 0.0000
-0.0086 0.0000 5.4743
Pm Mn Ge
2 1 6
Direct
0.1672 0.1672 0.2144
0.8328 0.8328 0.7856
0.5000 0.5000 0.0000
0.1428 0.6795 0.2951
0.3212 0.3212 0.7050
0.3205 0.8572 0.7049
0.6795 0.1428 0.2951
0.6788 0.6788 0.2950
0.8572 0.3205 0.7049
```

Size of the total moment (μB/f.u.): 1.8
D(E_F) (states/eV/f.u.): 5.8
E_tot (eV per atom): -5.55
Energy relative to the elements (eV/atom): -0.393

***

Compound: PmMn2Ge2
Source: the Alexandria database
Functional: GGA-PBE
Structure: relaxed

```
PmMn2Ge2
1.0
5.6958 0.0000 0.0000
2.3117 5.5489 0.0000
2.6056 0.9538 5.9604
Pm Mn Ge
2 4 4
Direct
0.1801 0.2039 0.1879
0.8199 0.7961 0.8121
0.1346 0.2990 0.6516
0.4306 0.5789 0.3114
0.5694 0.4211 0.6886
0.8654 0.7010 0.3484
0.2556 0.7331 0.9980
0.3642 0.8505 0.5593
0.6358 0.1495 0.4407
0.7444 0.2669 0.0020
```

Size of the total moment (μB/f.u.): 5.9
Polymorph energy (0 for the lowest one) (meV/atom): 293
D(E_F) (states/eV/f.u.): 4.1
E_tot (eV per atom): -6.64
Energy relative to the elements (eV/atom): -0.177

***

Compound: PmMnGe2
Source: the Alexandria database
Functional: GGA-PBE
Structure: relaxed

```
PmMnGe2
1.0
2.0796 1.2007 5.3009
-2.0796 1.2007 5.3009
0.0000 -2.4013 5.3009
Pm Mn Ge
1 1 2
Direct
0.0000 0.0000 0.0000
0.5000 0.5000 0.5000
0.2209 0.2209 0.2209
0.7791 0.7791 0.7791
```

Size of the total moment (μB/f.u.): 2.7
Polymorph energy (0 for the lowest one) (meV/atom): 26
D(E_F) (states/eV/f.u.): 1.8
E_tot (eV per atom): -6.27
Energy relative to the elements (eV/atom): -0.485